Entry from Alexandria: a relaxed structure of NaMn2WO6 (PBE+U).

Unit cell a=5.2475 b=5.2613 c=5.8376 alpha=63.29 beta=63.49 gamma=60.13
Last column: nearest neighbours and their distance in Å.
Sites, in units of the cell vectors:
Na 0.0000 0.0000 0.0000  6 O 2.28-2.53
Mn 0.2050 0.2039 0.3871  6 O 1.97-2.08
Mn 0.7226 0.7211 0.8321  6 O 2.15-2.34
W 0.5213 0.5217 0.4332  6 O 1.95-1.97
O 0.1498 0.7897 0.6259  1 W 1.95, 2 Mn 2.08-2.15
O 0.3462 0.5498 0.1819  1 Mn 1.97, 1 W 1.97
O 0.4299 0.1492 0.6267  1 W 1.95, 2 Mn 2.05-2.15
O 0.5509 0.9186 0.1844  1 W 1.97, 1 Mn 1.98
O 0.7917 0.4289 0.6278  1 W 1.95, 2 Mn 2.07-2.15
O 0.9183 0.3458 0.1843  1 W 1.97, 1 Mn 1.97

Calculated values
The calculation puts the density at 5731 kg/m3. The space group is P1. As for the magnetic moment: 7.0 μB per cell. The total energy comes out at -7.029 eV per atom.